--- 1 ---
A plane-wave DFT calculation with GGA-PBE was carried out for an optimized crystal structure of KSeBr2.

```
KSeBr2
1.0
-2.066 2.630 2.565
-3.287 -5.962 3.466
3.174 -0.165 2.727
Br K Se
2 1 1
direct
0.000 0.000 0.000
0.500 0.500 0.000
0.500 0.000 0.500
0.000 0.500 0.500
```

- Calculated volume: 135 Å³/cell
- M_tot: 0.0 μB/f.u.

***

--- 2 ---
A plane-wave DFT calculation with GGA-PBE was carried out for an optimized crystal structure of KSeBr2.

```
KSeBr2
1.0
5.289 0.000 0.000
0.000 4.653 0.105
0.000 3.628 5.659
Br K Se
2 1 1
direct
0.000 0.831 0.869
0.500 0.235 0.354
0.000 0.692 0.421
0.500 0.742 0.857
```

- Calculated volume: 137 Å³/cell
- M_tot: 0.0 μB/f.u.

***

--- 3 ---
A plane-wave DFT calculation with GGA-PBE was carried out for an optimized crystal structure of KSeBr2.

```
KSeBr2
1.0
-4.320 -0.595 -1.164
1.215 -0.349 -4.333
0.646 -5.992 0.664
Br K Se
2 1 1
direct
0.000 0.000 0.874
0.500 0.500 0.376
0.000 0.000 0.374
0.500 0.500 0.875
```

- Calculated volume: 124 Å³/cell
- M_tot: 0.0 μB/f.u.

***

--- 4 ---
A plane-wave DFT calculation with GGA-PBE was carried out for an optimized crystal structure of KSeBr2.

```
KSeBr2
1.0
-6.154 2.168 5.803
-4.738 -1.372 7.206
2.135 1.937 2.732
Br K Se
2 1 1
direct
0.031 0.031 0.993
0.759 0.759 0.722
0.450 0.450 0.564
0.260 0.260 0.221
```

- Calculated volume: 134 Å³/cell
- M_tot: 0.1 μB/f.u.

***

Winner for stability: 2

***

--- 1 ---
A plane-wave DFT calculation with GGA-PBE was carried out for an optimized crystal structure of KSeBr2.

```
KSeBr2
1.0
-3.466 -3.428 3.566
1.115 -5.591 -1.994
3.232 4.523 2.362
Br K Se
2 1 1
direct
0.070 0.070 0.000
0.430 0.430 0.000
0.750 0.250 0.500
0.250 0.750 0.500
```

- Calculated volume: 128 Å³/cell
- M_tot: 0.0 μB/f.u.

***

--- 2 ---
A plane-wave DFT calculation with GGA-PBE was carried out for an optimized crystal structure of KSeBr2.

```
KSeBr2
1.0
7.007 -0.878 0.000
-4.984 5.002 0.000
0.000 0.000 7.847
Br K Se
2 1 1
direct
0.000 0.000 0.963
0.000 0.000 0.537
0.500 0.500 0.250
0.500 0.500 0.750
```

- Calculated volume: 241 Å³/cell
- M_tot: 0.0 μB/f.u.

***

--- 3 ---
A plane-wave DFT calculation with GGA-PBE was carried out for an optimized crystal structure of KSeBr2.

```
KSeBr2
1.0
-5.219 0.939 0.265
-0.860 -3.749 -3.660
-0.336 -2.661 2.805
Br K Se
2 1 1
direct
0.000 0.000 0.000
0.500 0.500 0.000
0.500 0.000 0.500
0.000 0.500 0.500
```

- Calculated volume: 109 Å³/cell
- M_tot: 0.0 μB/f.u.

***

Winner for stability: 1

***

--- 1 ---
A plane-wave DFT calculation with GGA-PBE was carried out for an optimized crystal structure of K2SeBr.

```
K2SeBr
1.0
-2.008 5.160 -1.336
-1.561 1.150 -5.356
-5.510 0.668 -1.280
Br K Se
1 2 1
direct
0.500 0.500 0.500
0.000 0.000 0.000
0.250 0.250 0.250
0.750 0.750 0.750
```

- Calculated volume: 131 Å³/cell
- M_tot: 1.0 μB/f.u.

***

--- 2 ---
A plane-wave DFT calculation with GGA-PBE was carried out for an optimized crystal structure of K2SeBr.

```
K2SeBr
1.0
-0.356 3.296 -2.192
-2.319 -1.722 -2.213
-8.899 0.831 2.694
Br K Se
1 2 1
direct
0.500 0.750 0.750
0.000 0.012 0.988
0.000 0.488 0.512
0.500 0.250 0.250
```

- Calculated volume: 124 Å³/cell
- M_tot: 0.0 μB/f.u.

***

--- 3 ---
A plane-wave DFT calculation with GGA-PBE was carried out for an optimized crystal structure of K2SeBr.

```
K2SeBr
1.0
-5.217 3.690 -1.599
-4.797 1.454 -4.274
-3.491 -3.797 2.627
Br K Se
1 2 1
direct
0.254 0.254 0.125
0.991 0.991 0.125
0.758 0.758 0.625
0.496 0.496 0.625
```

- Calculated volume: 129 Å³/cell
- M_tot: 0.2 μB/f.u.

***

--- 4 ---
A plane-wave DFT calculation with GGA-PBE was carried out for an optimized crystal structure of K2SeBr.

```
K2SeBr
1.0
-0.551 -4.465 -3.858
4.574 -2.765 2.561
-2.229 -1.640 2.215
Br K Se
1 2 1
direct
0.000 0.500 0.500
0.000 0.000 0.000
0.500 0.500 0.000
0.500 0.000 0.500
```

- Calculated volume: 124 Å³/cell
- M_tot: 0.0 μB/f.u.

***

Winner for stability: 2

***

--- 1 ---
A plane-wave DFT calculation with GGA-PBE was carried out for an optimized crystal structure of K2SeBr.

```
K2SeBr
1.0
-4.613 -1.578 2.953
-5.193 1.491 -1.814
-3.524 -3.950 -2.114
K Se Br
2 1 1
direct
0.250 0.250 0.250
0.750 0.750 0.750
0.000 0.000 0.000
0.500 0.500 0.500
```

- Calculated volume: 131 Å³/cell
- M_tot: 1.0 μB/f.u.

***

--- 2 ---
A plane-wave DFT calculation with GGA-PBE was carried out for an optimized crystal structure of K2SeBr.

```
K2SeBr
1.0
-6.673 -5.511 1.869
5.497 -5.036 4.777
-1.328 -3.429 6.118
K Se Br
4 2 2
direct
0.624 0.125 0.250
0.126 0.625 0.250
0.375 0.376 0.750
0.875 0.874 0.750
0.500 0.500 0.000
0.250 0.750 0.500
0.000 0.000 0.000
0.750 0.250 0.500
```

- Calculated volume: 269 Å³/cell
- M_tot: 0.0 μB/f.u.

***

--- 3 ---
A plane-wave DFT calculation with GGA-PBE was carried out for an optimized crystal structure of K2SeBr.

```
K2SeBr
1.0
4.486 0.005 -0.002
2.238 3.888 -0.002
2.251 1.303 8.566
Br K Se
1 2 1
direct
0.250 0.250 0.250
0.995 0.995 0.013
0.505 0.505 0.487
0.750 0.750 0.750
```

- Calculated volume: 149 Å³/cell
- M_tot: 1.0 μB/f.u.

***

Winner for stability: 3

***

--- 1 ---
A plane-wave DFT calculation with GGA-PBE was carried out for an optimized crystal structure of KSiSeBr2.

```
KSiSeBr2
1.0
-2.027 -3.475 -4.197
5.439 -1.028 -1.776
0.324 -4.609 3.659
K Si Se Br
1 1 1 2
direct
0.000 0.000 0.000
0.500 0.500 0.500
0.000 0.000 0.500
0.000 0.500 0.000
0.500 0.000 0.000
```

- Calculated volume: 199 Å³/cell
- M_tot: 1.0 μB/f.u.

***

--- 2 ---
A plane-wave DFT calculation with GGA-PBE was carried out for an optimized crystal structure of KSiSeBr2.

```
KSiSeBr2
1.0
-1.488 2.835 4.369
-2.528 -4.365 1.972
4.083 -1.343 2.262
K Si Se Br
1 1 1 2
direct
0.500 0.500 0.500
0.000 0.000 0.000
0.000 0.000 0.500
0.000 0.500 0.000
0.500 0.000 0.000
```

- Calculated volume: 143 Å³/cell
- M_tot: 0.0 μB/f.u.

***

Winner for stability: 2

***

--- 1 ---
A plane-wave DFT calculation with GGA-PBE was carried out for an optimized crystal structure of KSnSeBr2.

```
KSnSeBr2
1.0
5.782 0.000 0.000
0.000 5.782 0.000
0.000 0.000 5.266
K Se Sn Br
1 1 1 2
direct
0.500 0.500 0.500
0.000 0.000 0.500
0.000 0.000 0.000
0.000 0.500 0.000
0.500 0.000 0.000
```

- Calculated volume: 176 Å³/cell
- M_tot: 0.0 μB/f.u.

***

--- 2 ---
A plane-wave DFT calculation with GGA-PBE was carried out for an optimized crystal structure of KSnSeBr2.

```
KSnSeBr2
1.0
5.731 0.000 0.000
0.000 5.731 0.000
0.000 0.000 5.846
K Se Sn Br
1 1 1 2
direct
0.000 0.000 0.000
0.000 0.000 0.500
0.500 0.500 0.500
0.000 0.500 0.000
0.500 0.000 0.000
```

- Calculated volume: 192 Å³/cell
- M_tot: 1.0 μB/f.u.

***

Winner for stability: 1

***

--- 1 ---
A plane-wave DFT calculation with GGA-PBE was carried out for an optimized crystal structure of KTaSeBr2.

```
KTaSeBr2
1.0
-4.551 2.694 -1.311
-1.465 -4.080 -3.300
-2.404 -2.212 3.802
K Se Br Ta
1 1 2 1
direct
0.500 0.500 0.500
0.000 0.000 0.500
0.000 0.500 0.000
0.500 0.000 0.000
0.000 0.000 0.000
```

- Calculated volume: 149 Å³/cell
- M_tot: 1.7 μB/f.u.

***

--- 2 ---
A plane-wave DFT calculation with GGA-PBE was carried out for an optimized crystal structure of KTaSeBr2.

```
KTaSeBr2
1.0
-2.246 4.878 1.535
-2.779 -2.572 4.107
4.418 0.914 3.561
K Se Br Ta
1 1 2 1
direct
0.000 0.000 0.000
0.000 0.000 0.500
0.000 0.500 0.000
0.500 0.000 0.000
0.500 0.500 0.500
```

- Calculated volume: 179 Å³/cell
- M_tot: 2.0 μB/f.u.

***

Winner for stability: 1

***

--- 1 ---
A plane-wave DFT calculation with GGA-PBE was carried out for an optimized crystal structure of KTiSeBr2.

```
KTiSeBr2
1.0
-4.204 -2.868 2.588
1.700 -4.808 -2.567
3.515 -1.134 4.453
K Se Br Ti
1 1 2 1
direct
0.000 0.000 0.000
0.000 0.000 0.500
0.000 0.500 0.000
0.500 0.000 0.000
0.500 0.500 0.500
```

- Calculated volume: 189 Å³/cell
- M_tot: 1.0 μB/f.u.

***

--- 2 ---
A plane-wave DFT calculation with GGA-PBE was carried out for an optimized crystal structure of KTiSeBr2.

```
KTiSeBr2
1.0
5.386 0.000 0.000
0.000 5.386 0.000
0.000 0.000 4.954
K Se Br Ti
1 1 2 1
direct
0.500 0.500 0.500
0.000 0.000 0.500
0.000 0.500 0.000
0.500 0.000 0.000
0.000 0.000 0.000
```

- Calculated volume: 144 Å³/cell
- M_tot: 1.0 μB/f.u.

***

Winner for stability: 2